[1]
DFT (PBE+U) results for a relaxed Ba3Cr5O12 crystal.

```
Ba3Cr5O12
1.0
-6.591 6.591 6.591
6.591 -6.591 6.591
6.591 6.591 -6.591
Ba Cr O
12 20 48
Direct
0.125 0.250 0.375
0.125 0.375 0.750
0.250 0.375 0.125
0.250 0.875 0.625
0.375 0.125 0.250
0.375 0.750 0.125
0.625 0.250 0.875
0.625 0.875 0.750
0.750 0.125 0.375
0.750 0.625 0.875
0.875 0.625 0.250
0.875 0.750 0.625
0.000 0.000 0.000
0.000 0.000 0.500
0.000 0.500 0.000
0.000 0.500 0.500
0.125 0.750 0.875
0.125 0.875 0.250
0.250 0.125 0.875
0.250 0.625 0.375
0.375 0.250 0.625
0.375 0.625 0.750
0.500 0.000 0.000
0.500 0.000 0.500
0.500 0.500 0.000
0.500 0.500 0.500
0.625 0.375 0.250
0.625 0.750 0.375
0.750 0.375 0.625
0.750 0.875 0.125
0.875 0.125 0.750
0.875 0.250 0.125
0.000 0.188 0.107
0.000 0.312 0.893
0.000 0.688 0.107
0.000 0.812 0.893
0.081 0.688 0.688
0.081 0.893 0.393
0.107 0.000 0.188
0.107 0.000 0.688
0.107 0.607 0.419
0.107 0.607 0.919
0.188 0.107 0.000
0.188 0.188 0.581
0.188 0.500 0.607
0.188 0.581 0.188
0.312 0.312 0.919
0.312 0.500 0.393
0.312 0.893 0.000
0.312 0.919 0.312
0.393 0.081 0.893
0.393 0.312 0.500
0.393 0.581 0.893
0.393 0.812 0.500
0.419 0.107 0.607
0.419 0.812 0.812
0.500 0.393 0.312
0.500 0.393 0.812
0.500 0.607 0.188
0.500 0.607 0.688
0.581 0.188 0.188
0.581 0.893 0.393
0.607 0.188 0.500
0.607 0.419 0.107
0.607 0.688 0.500
0.607 0.919 0.107
0.688 0.081 0.688
0.688 0.107 0.000
0.688 0.500 0.607
0.688 0.688 0.081
0.812 0.419 0.812
0.812 0.500 0.393
0.812 0.812 0.419
0.812 0.893 0.000
0.893 0.000 0.312
0.893 0.000 0.812
0.893 0.393 0.081
0.893 0.393 0.581
0.919 0.107 0.607
0.919 0.312 0.312
```

Computed properties:
Total DFT energy (no corrections) = -7.14 eV/atom
SG = No. 230
Total moment = 48.00 Bohr magnetons per cell

[2]
DFT (PBE+U) results for a relaxed BaCr2O8 crystal.

```
BaCr2O8
1.0
5.430 -2.783 0.000
5.430 2.783 0.000
-2.781 0.000 6.081
Ba Cr O
1 2 8
Direct
0.000 0.000 0.000
0.222 0.222 0.721
0.778 0.778 0.279
0.071 0.583 0.179
0.139 0.139 0.451
0.386 0.386 0.800
0.417 0.929 0.821
0.583 0.071 0.179
0.614 0.614 0.200
0.861 0.861 0.549
0.929 0.417 0.821
```

Computed properties:
Total DFT energy (no corrections) = -6.38 eV/atom
SG = No. 12
Total moment = 2.05 Bohr magnetons per cell

[3]
DFT (PBE+U) results for a relaxed BaCr2O4 crystal.

```
BaCr2O4
1.0
6.091 0.000 0.000
0.000 12.400 0.000
0.000 0.000 5.284
Ba Cr O
4 8 16
Direct
0.250 0.250 0.054
0.250 0.750 0.366
0.750 0.250 0.634
0.750 0.750 0.946
0.000 0.000 0.500
0.000 0.500 0.500
0.250 0.506 0.998
0.250 0.994 0.998
0.500 0.000 0.500
0.500 0.500 0.500
0.750 0.006 0.002
0.750 0.494 0.002
0.003 0.087 0.835
0.003 0.413 0.835
0.250 0.080 0.331
0.250 0.420 0.331
0.250 0.586 0.667
0.250 0.914 0.667
0.497 0.087 0.835
0.497 0.413 0.835
0.503 0.587 0.165
0.503 0.913 0.165
0.750 0.086 0.333
0.750 0.414 0.333
0.750 0.580 0.669
0.750 0.920 0.669
0.997 0.587 0.165
0.997 0.913 0.165
```

Computed properties:
Total DFT energy (no corrections) = -7.47 eV/atom
SG = No. 59
Offset from the most stable computed form = 0 meV/atom
Total moment = 24.00 Bohr magnetons per cell

[4]
DFT (PBE+U) results for a relaxed BaCrO2 crystal.

```
BaCrO2
1.0
-2.586 2.586 5.430
2.586 -2.586 5.430
2.586 2.586 -5.430
Ba Cr O
2 2 4
Direct
0.000 0.000 0.000
0.750 0.250 0.500
0.250 0.750 0.500
0.500 0.500 0.000
0.229 0.625 0.104
0.375 0.479 0.604
0.521 0.125 0.896
0.875 0.771 0.396
```

Computed properties:
Total DFT energy (no corrections) = -6.27 eV/atom
SG = No. 122
Total moment = 4.00 Bohr magnetons per cell

[5]
DFT (PBE+U) results for a relaxed BaCrO3 crystal.

```
BaCrO3
1.0
5.753 0.000 0.000
-2.876 4.982 0.000
0.000 0.000 9.439
Ba Cr O
4 4 12
Direct
0.000 0.000 0.000
0.000 0.000 0.500
0.333 0.667 0.250
0.667 0.333 0.750
0.333 0.667 0.611
0.333 0.667 0.889
0.667 0.333 0.111
0.667 0.333 0.389
0.000 0.500 0.000
0.000 0.500 0.500
0.187 0.373 0.750
0.187 0.813 0.750
0.373 0.187 0.250
0.500 0.000 0.000
0.500 0.000 0.500
0.500 0.500 0.000
0.500 0.500 0.500
0.627 0.813 0.750
0.813 0.187 0.250
0.813 0.627 0.250
```

Computed properties:
Total DFT energy (no corrections) = -6.99 eV/atom
SG = No. 194
Total moment = 8.00 Bohr magnetons per cell

[6]
DFT (PBE+U) results for a relaxed BaCr2O crystal.

```
BaCr2O
1.0
0.000 4.664 4.664
4.664 0.000 4.664
4.664 4.664 0.000
Ba Cr O
2 4 2
Direct
0.125 0.125 0.125
0.875 0.875 0.875
0.000 0.500 0.500
0.500 0.000 0.500
0.500 0.500 0.000
0.500 0.500 0.500
0.375 0.375 0.375
0.625 0.625 0.625
```

Computed properties:
Total DFT energy (no corrections) = -6.04 eV/atom
SG = No. 227
Total moment = 16.01 Bohr magnetons per cell

[7]
DFT (PBE+U) results for a relaxed Ba2Cr2O crystal.

```
Ba2Cr2O
1.0
-3.357 3.357 3.526
3.357 -3.357 3.526
3.357 3.357 -3.526
Ba Cr O
2 2 1
Direct
0.250 0.750 0.500
0.750 0.250 0.500
0.222 0.222 0.000
0.778 0.778 0.000
0.500 0.500 0.000
```

Computed properties:
Total DFT energy (no corrections) = -4.71 eV/atom
SG = No. 139
Offset from the most stable computed form = 0 meV/atom
Total moment = 8.01 Bohr magnetons per cell

[8]
DFT (PBE+U) results for a relaxed BaCrOs2O8 crystal.

```
BaCrOs2O8
1.0
5.392 0.000 0.000
-2.696 4.669 0.000
0.000 0.000 7.582
Ba Cr Os O
1 1 2 8
Direct
0.000 0.000 0.000
0.000 0.000 0.500
0.333 0.667 0.710
0.667 0.333 0.290
0.032 0.306 0.669
0.273 0.968 0.669
0.306 0.273 0.331
0.333 0.667 0.951
0.667 0.333 0.049
0.694 0.727 0.669
0.727 0.032 0.331
0.968 0.694 0.331
```

Computed properties:
Total DFT energy (no corrections) = -7.28 eV/atom
SG = No. 147
Total moment = 6.02 Bohr magnetons per cell

Which formula does entry 2 have?
BaCr2O8

Please write out number 3 again, unchanged.
DFT (PBE+U) results for a relaxed BaCr2O4 crystal.

```
BaCr2O4
1.0
6.091 0.000 0.000
0.000 12.400 0.000
0.000 0.000 5.284
Ba Cr O
4 8 16
Direct
0.250 0.250 0.054
0.250 0.750 0.366
0.750 0.250 0.634
0.750 0.750 0.946
0.000 0.000 0.500
0.000 0.500 0.500
0.250 0.506 0.998
0.250 0.994 0.998
0.500 0.000 0.500
0.500 0.500 0.500
0.750 0.006 0.002
0.750 0.494 0.002
0.003 0.087 0.835
0.003 0.413 0.835
0.250 0.080 0.331
0.250 0.420 0.331
0.250 0.586 0.667
0.250 0.914 0.667
0.497 0.087 0.835
0.497 0.413 0.835
0.503 0.587 0.165
0.503 0.913 0.165
0.750 0.086 0.333
0.750 0.414 0.333
0.750 0.580 0.669
0.750 0.920 0.669
0.997 0.587 0.165
0.997 0.913 0.165
```

Computed properties:
Total DFT energy (no corrections) = -7.47 eV/atom
SG = No. 59
Offset from the most stable computed form = 0 meV/atom
Total moment = 24.00 Bohr magnetons per cell